Record 1
# CsBa3Mo

Crystalline CsBa3Mo at its relaxed geometry (PBE, Alexandria via LeMat-Bulk).

Cell: 6.339 6.339 6.339 Å, 90.00 90.00 90.00°
Atoms (fractional coordinates):
Ba 0.000 0.500 0.000
Ba 0.000 0.000 0.500
Ba 0.500 0.000 0.000
Mo 0.000 0.000 0.000
Cs 0.500 0.500 0.500

## Properties
- Space-group type: No. 221
- Raw total energy: -2.78 eV per atom

Record 2
# CsBa3Mo

Crystalline CsBa3Mo at its relaxed geometry (PBE, Alexandria via LeMat-Bulk).

Cell: 6.291 6.291 6.291 Å, 90.00 90.00 90.00°
Atoms (fractional coordinates):
Cs 0.000 0.000 0.000
Ba 0.000 0.000 0.500
Ba 0.500 0.000 0.000
Ba 0.000 0.500 0.000
Mo 0.500 0.500 0.500

## Properties
- Space-group type: No. 221
- Raw total energy: -1.58 eV per atom

| no. | offset from the most stable computed form (eV/atom) |
| --- | --- |
| 1 | 0.000 |
| 2 | 1.199 |